Here is a relaxed structure of LaMg3Ag4 from the Alexandria database. Energies are from PBE.

Lattice parameters (Å, degrees): 9.258 9.258 9.258 29.82 29.82 29.82
Positions (direct):
1 La 0.000 0.000 0.000
2 Mg 0.241 0.241 0.241
3 Mg 0.500 0.500 0.500
4 Mg 0.759 0.759 0.759
5 Ag 0.128 0.128 0.128
6 Ag 0.397 0.397 0.397
7 Ag 0.603 0.603 0.603
8 Ag 0.872 0.872 0.872

Properties
* energy of formation: -1.819 eV/f.u.
* space group: R-3m (166)
* calculated density: 6.15 g/cm3
* electronic total energy: -2.867 eV per atom

---

Here is a relaxed structure of Np2GeP3Ir4 from the Alexandria database. Energies are from PBE.

Lattice parameters (Å, degrees): 4.094 4.094 9.973 90.00 90.00 90.00
Positions (direct):
1 Np 0.000 0.500 0.249
2 Np 0.500 0.000 0.751
3 Ge 0.500 0.500 0.000
4 P 0.000 0.000 0.000
5 P 0.000 0.500 0.637
6 P 0.500 0.000 0.363
7 Ir 0.000 0.000 0.500
8 Ir 0.000 0.500 0.869
9 Ir 0.500 0.000 0.131
10 Ir 0.500 0.500 0.500

Properties
* energy of formation: -5.935 eV/f.u.
* space group: P-4m2 (115)
* calculated density: 13.99 g/cm3
* electronic total energy: -8.811 eV per atom

---

- energy of formation of number 2 (Np2GeP3Ir4)?
  -5.935 eV/f.u.